First-principles (PBE with a Hubbard U) data for FeNiO3 after structural relaxation, as listed in Alexandria via LeMat-Bulk.

Cell lengths 3.6347, 3.6347, 3.6347 Å; angles 90.00, 90.00, 90.00 degrees
Site moments in Bohr magnetons follow the coordinates.
Fractional coordinates of all 5 atoms:
O (0.0000, 0.0000, 0.5000)  0.14
O (0.0000, 0.5000, 0.0000)  0.16
O (0.5000, 0.0000, 0.0000)  0.08
Fe (0.5000, 0.5000, 0.5000)  4.14
Ni (0.0000, 0.0000, 0.0000)  1.08

Results
* final energy: -4.898 eV/atom
* space-group type: Pm-3m (221)
* density of states at the Fermi level: 1.487 states/eV/cell